Crystalline Rb3Os at its relaxed geometry, computed with PBE-GGA.

Geometry as extended XYZ:
```
4
Lattice="5.651 0.000 0.000 0.000 5.651 0.000 0.000 0.000 5.651" Properties=species:S:1:pos:R:3 pbc="T T T"
Rb 0.000 2.826 2.826
Rb 2.826 0.000 2.826
Rb 2.826 2.826 0.000
Os 0.000 0.000 0.000
```

theoretical density = 4.11 Mg/m³
relative energy among the computed polymorphs = 31.9 meV per atom
D(E_F) = 6.2 states/eV/f.u.
final energy = -8.4 eV per formula unit
energy of formation from the pure elements = 1432 meV per atom